(1)
Compound: B2Ir2Rh
Source: the Alexandria database
Functional: GGA-PBE
Structure: optimized geometry

The calculation puts the energy at -7.623 eV/atom. The calculation puts the formation energy from the elements at 0.063 eV per atom. The calculation puts the density of states at the Fermi level at 1.354 states/eV/atom. Its symmetry is I4/mmm (139).

Cell lengths 4.8774, 4.8774, 4.8774 Å; angles 134.03, 134.03, 67.05 degrees
Last column: nearest neighbours and their distance in Å.
Positions (direct):
B: 0.1089 0.1089 0.0000  1 B 1.77
B: 0.8911 0.8911 0.0000  1 B 1.77
Ir: 0.2500 0.7500 0.5000  4 B 2.22
Ir: 0.7500 0.2500 0.5000  4 B 2.22
Rh: 0.5000 0.5000 0.0000  8 Ir 2.79, 8 B 2.84



(2)
Compound: B2IrRh2
Source: the Alexandria database
Functional: GGA-PBE
Structure: optimized geometry

The calculation puts the energy at -7.616 eV/atom. The calculation puts the formation energy from the elements at -0.233 eV per atom. The calculation puts the density of states at the Fermi level at 0.519 states/eV/atom. Its symmetry is P2_1/c (14).

Cell lengths 6.3494, 5.4835, 7.2527 Å; angles 90.00, 105.95, 90.00 degrees
Last column: nearest neighbours and their distance in Å.
Positions (direct):
B: 0.0532 0.0679 0.2465  1 Ir 2.05, 3 Rh 2.15-2.25
B: 0.0532 0.4321 0.7465  1 Ir 2.05, 3 Rh 2.15-2.25
B: 0.3976 0.6705 0.1347  3 Ir 2.07-2.10, 2 Rh 2.16-2.20
B: 0.3976 0.8295 0.6347  3 Ir 2.07-2.10, 2 Rh 2.16-2.20
B: 0.6024 0.1705 0.3653  3 Ir 2.07-2.10, 2 Rh 2.16-2.20
B: 0.6024 0.3295 0.8653  3 Ir 2.07-2.10, 2 Rh 2.16-2.20
B: 0.9468 0.5679 0.2535  1 Ir 2.05, 3 Rh 2.15-2.25
B: 0.9468 0.9321 0.7535  1 Ir 2.05, 3 Rh 2.15-2.25
Ir: 0.3563 0.5917 0.8432  4 B 2.05-2.10
Ir: 0.3563 0.9083 0.3432  4 B 2.05-2.10
Ir: 0.6437 0.0917 0.6568  4 B 2.05-2.10
Ir: 0.6437 0.4083 0.1568  4 B 2.05-2.10
Rh: 0.0528 0.7475 0.5270  4 B 2.15-2.35
Rh: 0.0528 0.7525 0.0270  4 B 2.15-2.35
Rh: 0.2842 0.0942 0.8155  4 B 2.20-2.34
Rh: 0.2842 0.4058 0.3155  4 B 2.20-2.34
Rh: 0.7158 0.5942 0.6845  4 B 2.20-2.34
Rh: 0.7158 0.9058 0.1845  4 B 2.20-2.34
Rh: 0.9472 0.2475 0.9730  4 B 2.15-2.35
Rh: 0.9472 0.2525 0.4730  4 B 2.15-2.35



(3)
Compound: B2Ir2Rh
Source: the Alexandria database
Functional: GGA-PBE
Structure: optimized geometry

The calculation puts the energy at -7.864 eV/atom. The calculation puts the formation energy from the elements at -0.178 eV per atom. The calculation puts the density of states at the Fermi level at 0.642 states/eV/atom. Its symmetry is P2_1/m (11).

Cell lengths 4.1476, 3.5598, 8.0246 Å; angles 90.00, 100.15, 90.00 degrees
Last column: nearest neighbours and their distance in Å.
Positions (direct):
B: 0.0042 0.2500 0.3205  3 Rh 2.13-2.23, 4 Ir 2.25-2.28
B: 0.3954 0.7500 0.0459  2 B 2.17, 5 Ir 2.17-2.24
B: 0.6046 0.2500 0.9541  2 B 2.17, 5 Ir 2.17-2.24
B: 0.9958 0.7500 0.6795  3 Rh 2.13-2.23, 4 Ir 2.25-2.28
Ir: 0.0642 0.2500 0.8593  4 B 2.17-2.28
Ir: 0.4602 0.2500 0.2040  5 B 2.17-2.28
Ir: 0.5398 0.7500 0.7960  5 B 2.17-2.28
Ir: 0.9358 0.7500 0.1407  4 B 2.17-2.28
Rh: 0.2300 0.7500 0.4631  3 B 2.13-2.23
Rh: 0.7700 0.2500 0.5369  3 B 2.13-2.23



(4)
Compound: BIrRh
Source: the Alexandria database
Functional: GGA-PBE
Structure: optimized geometry

The calculation puts the energy at -7.663 eV/atom. The calculation puts the formation energy from the elements at -0.033 eV per atom. The calculation puts the density of states at the Fermi level at 1.236 states/eV/atom. Its symmetry is F-43m (216).

Cell lengths 3.7547, 3.7547, 3.7547 Å; angles 60.00, 60.00, 60.00 degrees
Last column: nearest neighbours and their distance in Å.
Positions (direct):
B: 0.0000 0.0000 0.0000  4 Rh 2.30, 4 Ir 2.30
Ir: 0.2500 0.2500 0.2500  4 B 2.30
Rh: 0.7500 0.7500 0.7500  4 B 2.30